# Y2Al2Cd

A relaxed structure of Y2Al2Cd (GGA-PBEsol, the Alexandria database).

Cell lengths 4.614, 7.026, 7.026 Å; angles 90.00, 90.00, 90.00 degrees
Positions (direct):
Y1 0.500 0.169 0.669
Y2 0.500 0.669 0.831
Y3 0.500 0.831 0.331
Y4 0.500 0.331 0.169
Al1 0.000 0.368 0.868
Al2 0.000 0.868 0.632
Al3 0.000 0.632 0.132
Al4 0.000 0.132 0.368
Cd1 0.000 0.000 0.000
Cd2 0.000 0.500 0.500

Calculated values
Raw total energy   -5.045 eV/atom
Calculated formation energy   -0.440 eV/atom